(P)
## Zn2Re (PBE-GGA)

Data for Zn2Re after structural relaxation.

Cell lengths 4.9013, 4.9013, 7.8603 Å; angles 90.00, 90.00, 120.00 degrees
With the nearest neighbours (Å) after each atom.
Space group P6_3/mmc (No. 194)
Unique sites:
Zn (0.0000, 0.0000, 0.0000) (multiplicity 2)  6 Zn 2.45
Zn (0.1716, 0.3431, 0.2500) (multiplicity 6)  6 Zn 2.38-2.52
Re (0.3333, 0.6667, 0.5714) (multiplicity 4)  4 Re 2.81-3.04, 12 Zn 2.82-2.88

(Q)
## Zn2Re (PBE-GGA)

Data for Zn2Re after structural relaxation.

Cell lengths 6.9139, 6.9373, 2.4987 Å; angles 90.00, 90.00, 90.00 degrees
With the nearest neighbours (Å) after each atom.
Space group Pnnm (No. 58)
Unique sites:
Zn (0.2386, 0.2391, 0.0000) (multiplicity 4)  2 Zn 2.50, 3 Re 2.56-2.65
Re (0.0000, 0.0000, 0.5000) (multiplicity 2)  2 Re 2.50, 6 Zn 2.56-2.65

(R)
## Zn2Re (PBE-GGA)

Data for Zn2Re after structural relaxation.

Cell lengths 10.2920, 2.7937, 6.3177 Å; angles 90.00, 103.41, 90.00 degrees
With the nearest neighbours (Å) after each atom.
Space group C2/m (No. 12)
Unique sites:
Zn (0.1322, 0.0000, 0.0214) (multiplicity 4)  8 Zn 2.65-2.86, 4 Re 2.77-2.79
Zn (0.2037, 0.0000, 0.6446) (multiplicity 4)  7 Zn 2.65-2.79, 5 Re 2.75-2.79
Re (0.0256, 0.5000, 0.3235) (multiplicity 4)  1 Re 2.41

(S)
## Zn2Re (PBE-GGA)

Data for Zn2Re after structural relaxation.

Cell lengths 6.8898, 6.8898, 6.8898 Å; angles 90.00, 90.00, 90.00 degrees
With the nearest neighbours (Å) after each atom.
Space group Fd-3m (No. 227, origin choice 2)
Unique sites:
Zn (0.0000, 0.0000, 0.0000) (multiplicity 16)  6 Zn 2.44
Re (0.1250, 0.1250, 0.6250) (multiplicity 8)  12 Zn 2.86, 4 Re 2.98

Most stable one: (R), least stable one: (Q).

(P)
## ZrZn2Re (PBE-GGA)

Data for ZrZn2Re after structural relaxation.

Cell lengths 6.4454, 6.4454, 6.4454 Å; angles 90.00, 90.00, 90.00 degrees
With the nearest neighbours (Å) after each atom.
Space group F-43m (No. 216)
Unique sites:
Zr (0.0000, 0.0000, 0.0000) (multiplicity 4)  4 Re 2.79, 4 Zn 2.79
Zn (0.0000, 0.0000, 0.5000) (multiplicity 4)  4 Re 2.79, 4 Zn 2.79
Zn (0.2500, 0.2500, 0.7500) (multiplicity 4)  4 Zr 2.79, 4 Zn 2.79
Re (0.2500, 0.2500, 0.2500) (multiplicity 4)  4 Zr 2.79, 4 Zn 2.79

(Q)
## ZrZn2Re (PBE-GGA)

Data for ZrZn2Re after structural relaxation.

Cell lengths 3.4496, 4.2567, 8.9243 Å; angles 90.00, 90.00, 90.00 degrees
With the nearest neighbours (Å) after each atom.
Space group Cmmm (No. 65)
Unique sites:
Zr (0.0000, 0.0000, 0.0000) (multiplicity 2)  4 Zr 2.74, 4 Zn 2.94
Zn (0.0000, 0.5000, 0.2672) (multiplicity 4)  4 Re 2.70-2.97, 4 Zn 2.74, 2 Zr 2.94
Re (0.0000, 0.0000, 0.5000) (multiplicity 2)  8 Zn 2.70-2.97, 4 Re 2.74

Most stable one: (Q), least stable one: (P).

(P)
## ZrZn2Re (PBE-GGA)

Data for ZrZn2Re after structural relaxation.

Cell lengths 6.3566, 6.3566, 6.3566 Å; angles 90.00, 90.00, 90.00 degrees
With the nearest neighbours (Å) after each atom.
Space group Fm-3m (No. 225)
Unique sites:
Zr (0.0000, 0.0000, 0.0000) (multiplicity 4)  8 Zn 2.75
Zn (0.2500, 0.2500, 0.2500) (multiplicity 8)  4 Zr 2.75, 4 Re 2.75
Re (0.0000, 0.0000, 0.5000) (multiplicity 4)  8 Zn 2.75

(Q)
## ZrZn2Re (PBE-GGA)

Data for ZrZn2Re after structural relaxation.

Cell lengths 2.7783, 2.7783, 8.4480 Å; angles 90.00, 90.00, 90.00 degrees
With the nearest neighbours (Å) after each atom.
Space group P4/mmm (No. 123)
Unique sites:
Zr (0.0000, 0.0000, 0.0000) (multiplicity 1)  4 Zr 2.78, 8 Zn 3.00
Zn (0.5000, 0.5000, 0.2682) (multiplicity 2)  4 Re 2.77, 4 Zn 2.78, 4 Zr 3.00
Re (0.0000, 0.0000, 0.5000) (multiplicity 1)  8 Zn 2.77, 4 Re 2.78

(R)
## ZrZn2Re (PBE-GGA)

Data for ZrZn2Re after structural relaxation.

Cell lengths 2.8399, 2.8399, 28.4670 Å; angles 90.00, 90.00, 120.00 degrees
With the nearest neighbours (Å) after each atom.
Space group R-3m (No. 166, hexagonal axes)
Unique sites:
Zr (0.0000, 0.0000, 0.0000) (multiplicity 3)  6 Zr 2.84, 6 Zn 3.03
Zn (0.0000, 0.0000, 0.2438) (multiplicity 6)  3 Re 2.74, 6 Zn 2.84, 3 Zr 3.03
Re (0.0000, 0.0000, 0.5000) (multiplicity 3)  6 Zn 2.74, 6 Re 2.84

Most stable one: (P), least stable one: (R).